This record from the Alexandria database describes a relaxed structure of Ac2TbHgS5. The functional is PBE.

The value obtained for the uncorrected formation energy is -1.681 eV/atom. The calculated density is 7.2 g cm⁻³. The energy is -5.435 eV per atom.

The space group is Cmc2_1 (No. 36) and the conventional cell measures 4.1140, 17.4970 and 12.4923 Å, with angles of 90.00, 90.00 and 90.00 degrees. Symmetry generates all atoms from Ac at (0.0000, 0.1198, 0.0000), Ac at (0.0000, 0.1343, 0.6195), Tb at (0.0000, 0.1985, 0.3192), Hg at (0.0000, 0.4689, 0.7732), S at (0.0000, 0.0472, 0.3880), S at (0.0000, 0.2914, 0.9716), S at (0.0000, 0.3090, 0.6664), S at (0.0000, 0.3538, 0.3136) and S at (0.0000, 0.4950, 0.0801).